1.
A plane-wave DFT calculation with PBE-GGA was carried out for a geometry-optimized ScPdN2O structure. Values from VASP.

Results
N(E_F) = 5.74 states/eV/cell
Space-group type = P4/mmm (123)
Uncorrected formation energy = 2.99 eV per formula unit

```
&SYSTEM
  ibrav = 0, nat = 5, ntyp = 4
/
ATOMIC_SPECIES
Sc 44.96 Sc.upf
Pd 106.42 Pd.upf
N 14.01 N.upf
O 16.00 O.upf
ATOMIC_POSITIONS crystal
Sc 0.000 0.000 0.000
Pd 0.500 0.500 0.500
N 0.000 0.500 0.000
N 0.500 0.000 0.000
O 0.000 0.000 0.500
CELL_PARAMETERS angstrom
4.188 0.000 0.000
0.000 4.188 0.000
0.000 0.000 3.941
```

2.
A plane-wave DFT calculation with PBE-GGA was carried out for a geometry-optimized Be2IrRu structure. Values from VASP.

Results
N(E_F) = 5.45 states/eV/cell
Space-group type = Cmmm (65)
E_form = -0.14 eV per atom

```
&SYSTEM
  ibrav = 0, nat = 8, ntyp = 3
/
ATOMIC_SPECIES
Be 9.01 Be.upf
Ir 192.22 Ir.upf
Ru 101.07 Ru.upf
ATOMIC_POSITIONS crystal
Be 0.000 0.000 0.248
Be 0.000 0.000 0.752
Be 0.500 0.500 0.248
Be 0.500 0.500 0.752
Ir 0.000 0.500 0.500
Ir 0.500 0.000 0.500
Ru 0.000 0.500 0.000
Ru 0.500 0.000 0.000
CELL_PARAMETERS angstrom
2.862 0.000 0.000
0.000 4.479 0.000
0.000 0.000 7.303
```

3.
A plane-wave DFT calculation with PBE-GGA was carried out for a geometry-optimized CsCu2Ni structure. Values from VASP.

Results
N(E_F) = 11.84 states/eV/cell
Space-group type = Fm-3m (225)
E_form = 1.22 eV per atom

```
&SYSTEM
  ibrav = 0, nat = 16, ntyp = 3
/
ATOMIC_SPECIES
Cs 132.91 Cs.upf
Cu 63.55 Cu.upf
Ni 58.69 Ni.upf
ATOMIC_POSITIONS crystal
Cs 0.000 0.000 0.000
Cs 0.000 0.500 0.500
Cs 0.500 0.000 0.500
Cs 0.500 0.500 0.000
Cu 0.250 0.250 0.250
Cu 0.250 0.250 0.750
Cu 0.250 0.750 0.250
Cu 0.250 0.750 0.750
Cu 0.750 0.250 0.250
Cu 0.750 0.250 0.750
Cu 0.750 0.750 0.250
Cu 0.750 0.750 0.750
Ni 0.000 0.000 0.500
Ni 0.000 0.500 0.000
Ni 0.500 0.000 0.000
Ni 0.500 0.500 0.500
CELL_PARAMETERS angstrom
6.933 0.000 0.000
0.000 6.933 0.000
0.000 0.000 6.933
```

4.
A plane-wave DFT calculation with PBE-GGA was carried out for a geometry-optimized Ir2W structure. Values from VASP.

Results
N(E_F) = 3.11 states/eV/cell
Space-group type = Fm-3m (225)
E_form = 0.09 eV per atom

```
&SYSTEM
  ibrav = 0, nat = 12, ntyp = 2
/
ATOMIC_SPECIES
Ir 192.22 Ir.upf
W 183.84 W.upf
ATOMIC_POSITIONS crystal
Ir 0.250 0.250 0.250
Ir 0.250 0.250 0.750
Ir 0.250 0.750 0.250
Ir 0.250 0.750 0.750
Ir 0.750 0.250 0.250
Ir 0.750 0.250 0.750
Ir 0.750 0.750 0.250
Ir 0.750 0.750 0.750
W 0.000 0.000 0.000
W 0.000 0.500 0.500
W 0.500 0.000 0.500
W 0.500 0.500 0.000
CELL_PARAMETERS angstrom
5.961 0.000 0.000
0.000 5.961 0.000
0.000 0.000 5.961
```

5.
A plane-wave DFT calculation with PBE-GGA was carried out for a geometry-optimized Zn2CuSi structure. Values from VASP.

Results
N(E_F) = 2.86 states/eV/cell
Space-group type = Immm (71)
Uncorrected formation energy = 0.54 eV per formula unit

```
&SYSTEM
  ibrav = 0, nat = 8, ntyp = 3
/
ATOMIC_SPECIES
Zn 65.41 Zn.upf
Cu 63.55 Cu.upf
Si 28.09 Si.upf
ATOMIC_POSITIONS crystal
Zn 0.000 0.000 0.199
Zn 0.000 0.000 0.801
Zn 0.500 0.500 0.301
Zn 0.500 0.500 0.699
Cu 0.000 0.500 0.500
Cu 0.500 0.000 0.000
Si 0.000 0.500 0.000
Si 0.500 0.000 0.500
CELL_PARAMETERS angstrom
2.631 0.000 0.000
0.000 3.985 0.000
0.000 0.000 11.662
```

6.
A plane-wave DFT calculation with PBE-GGA was carried out for a geometry-optimized Pu2ThTa structure. Values from VASP.

Results
N(E_F) = 48.79 states/eV/cell
Space-group type = R-3m (166)
E_form = 0.66 eV per atom

```
&SYSTEM
  ibrav = 0, nat = 12, ntyp = 3
/
ATOMIC_SPECIES
Pu 244.00 Pu.upf
Th 232.04 Th.upf
Ta 180.95 Ta.upf
ATOMIC_POSITIONS crystal
Pu 0.000 0.000 0.081
Pu 0.000 0.000 0.919
Pu 0.333 0.667 0.586
Pu 0.333 0.667 0.748
Pu 0.667 0.333 0.252
Pu 0.667 0.333 0.414
Th 0.000 0.000 0.500
Th 0.333 0.667 0.167
Th 0.667 0.333 0.833
Ta 0.000 0.000 0.000
Ta 0.333 0.667 0.667
Ta 0.667 0.333 0.333
CELL_PARAMETERS angstrom
3.185 0.000 0.000
-1.592 2.758 0.000
0.000 0.000 34.762
```